# PBE Zn4SiTePbO10, relaxed
# E_tot = -93.760 eV per formula unit
# Uncorrected formation energy = -1.577 eV per atom
data_Zn4SiTePbO10
_symmetry_space_group_name_H-M 'P 1'
_symmetry_Int_Tables_number 1
_cell_length_a 6.621
_cell_length_b 8.416
_cell_length_c 15.859
_cell_angle_alpha 90.00
_cell_angle_beta 90.00
_cell_angle_gamma 90.00
loop_
_symmetry_equiv_pos_as_xyz
'x,y,z'
loop_
_atom_site_label
_atom_site_type_symbol
_atom_site_fract_x
_atom_site_fract_y
_atom_site_fract_z
_atom_site_occupancy
Zn1 Zn 0.285 0.772 0.364 1
Zn2 Zn 0.475 0.121 0.433 1
Zn3 Zn 0.215 0.272 0.864 1
Zn4 Zn 0.785 0.728 0.136 1
Zn5 Zn 0.525 0.879 0.933 1
Zn6 Zn 0.025 0.621 0.567 1
Zn7 Zn 0.975 0.379 0.067 1
Zn8 Zn 0.025 0.621 0.933 1
Zn9 Zn 0.975 0.379 0.433 1
Zn10 Zn 0.215 0.272 0.636 1
Zn11 Zn 0.785 0.728 0.364 1
Zn12 Zn 0.525 0.879 0.567 1
Zn13 Zn 0.715 0.228 0.636 1
Zn14 Zn 0.715 0.228 0.864 1
Zn15 Zn 0.475 0.121 0.067 1
Zn16 Zn 0.285 0.772 0.136 1
Si1 Si 0.933 0.489 0.750 1
Si2 Si 0.067 0.511 0.250 1
Si3 Si 0.567 0.989 0.250 1
Si4 Si 0.433 0.011 0.750 1
Te1 Te 0.000 0.000 0.500 1
Te2 Te 0.500 0.500 0.000 1
Te3 Te 0.000 0.000 0.000 1
Te4 Te 0.500 0.500 0.500 1
Pb1 Pb 0.944 0.910 0.750 1
Pb2 Pb 0.444 0.590 0.750 1
Pb3 Pb 0.556 0.410 0.250 1
Pb4 Pb 0.056 0.090 0.250 1
O1 O 0.523 0.342 0.089 1
O2 O 0.917 0.519 0.333 1
O3 O 0.476 0.331 0.914 1
O4 O 0.976 0.169 0.586 1
O5 O 0.976 0.169 0.914 1
O6 O 0.779 0.333 0.750 1
O7 O 0.793 0.493 0.514 1
O8 O 0.977 0.842 0.589 1
O9 O 0.477 0.658 0.911 1
O10 O 0.207 0.507 0.014 1
O11 O 0.221 0.667 0.250 1
O12 O 0.695 0.155 0.250 1
O13 O 0.023 0.158 0.411 1
O14 O 0.024 0.831 0.414 1
O15 O 0.195 0.345 0.250 1
O16 O 0.279 0.167 0.750 1
O17 O 0.523 0.342 0.411 1
O18 O 0.305 0.845 0.750 1
O19 O 0.476 0.331 0.586 1
O20 O 0.083 0.481 0.833 1
O21 O 0.583 0.019 0.667 1
O22 O 0.707 0.993 0.486 1
O23 O 0.417 0.981 0.333 1
O24 O 0.477 0.658 0.589 1
O25 O 0.524 0.669 0.086 1
O26 O 0.583 0.019 0.833 1
O27 O 0.793 0.493 0.986 1
O28 O 0.417 0.981 0.167 1
O29 O 0.707 0.993 0.014 1
O30 O 0.805 0.655 0.750 1
O31 O 0.977 0.842 0.911 1
O32 O 0.524 0.669 0.414 1
O33 O 0.917 0.519 0.167 1
O34 O 0.023 0.158 0.089 1
O35 O 0.083 0.481 0.667 1
O36 O 0.293 0.007 0.514 1
O37 O 0.207 0.507 0.486 1
O38 O 0.721 0.833 0.250 1
O39 O 0.024 0.831 0.086 1
O40 O 0.293 0.007 0.986 1